Entry P
Rb2BaTi, optimized geometry, DFT PBE; crystal system = tetragonal; mass density = 2.62 g/cm3; space-group type = No. 122
1.0
5.444 0.000 0.000
0.000 5.444 0.000
2.722 2.722 15.251
Ba Rb Ti
2 4 2
Cartesian
0.000 0.000 0.000
5.444 2.722 7.625
3.987 1.361 3.813
1.457 4.083 3.813
4.083 4.179 11.438
6.805 6.709 11.438
2.722 2.722 0.000
2.722 5.444 7.625

---

Entry Q
Rb2BaTi, optimized geometry, DFT PBE; crystal system = cubic; mass density = 2.77 g/cm3; space-group type = No. 225
1.0
0.000 4.741 4.741
4.741 0.000 4.741
4.741 4.741 0.000
Ba Rb Ti
1 2 1
Cartesian
4.741 4.741 4.741
2.370 2.370 2.370
7.111 7.111 7.111
0.000 0.000 0.000

---

Tell me which of them is the most stable. Sure, it is entry P.

---

Entry P
Rb2BaTi2, optimized geometry, DFT PBE; crystal system = tetragonal; mass density = 2.89 g/cm3; space-group type = No. 139
1.0
5.276 0.000 0.000
0.000 5.276 0.000
2.638 2.638 8.344
Ba Rb Ti
1 2 2
Cartesian
0.000 0.000 0.000
5.276 2.638 4.172
2.638 5.276 4.172
2.638 2.638 1.009
5.276 5.276 7.335

---

Entry Q
Rb2BaTi2, optimized geometry, DFT PBE; crystal system = tetragonal; mass density = 2.95 g/cm3; space-group type = No. 127
1.0
10.982 0.000 0.000
0.000 10.982 0.000
0.000 0.000 3.768
Ba Rb Ti
2 4 4
Cartesian
0.000 0.000 0.000
5.491 5.491 0.000
2.268 7.759 1.884
7.759 8.714 1.884
8.714 3.223 1.884
3.223 2.268 1.884
4.749 10.239 0.000
10.239 6.233 0.000
6.233 0.742 0.000
0.742 4.749 0.000

---

Tell me which of them is the most stable. Sure, it is entry P.

---

Entry P
RbBa2Tl2, optimized geometry, DFT PBE; crystal system = tetragonal; mass density = 5.17 g/cm3; space-group type = No. 139
1.0
6.703 0.000 0.000
0.000 6.703 0.000
3.352 3.352 5.496
Tl Ba Rb
2 2 1
Cartesian
3.352 3.352 1.448
6.703 6.703 4.048
6.703 3.352 2.748
3.352 6.703 2.748
0.000 0.000 0.000

---

Entry Q
RbBa2Tl2, optimized geometry, DFT PBE; crystal system = tetragonal; mass density = 4.74 g/cm3; space-group type = No. 139
1.0
5.665 0.000 0.000
0.000 5.665 0.000
2.832 2.832 8.399
Tl Ba Rb
2 2 1
Cartesian
5.665 2.832 4.199
2.832 5.665 4.199
2.832 2.832 2.248
5.665 5.665 6.151
0.000 0.000 0.000

---

Tell me which of them is the most stable. Sure, it is entry P.

---

Entry P
RbBaTl3, optimized geometry, DFT PBE; crystal system = cubic; mass density = 5.63 g/cm3; space-group type = No. 221
1.0
-0.466 6.248 0.264
-4.888 -0.529 3.893
3.901 0.083 4.910
Tl Ba Rb
3 1 1
Cartesian
-2.444 -0.264 1.947
1.951 0.042 2.455
-0.233 3.124 0.132
-0.726 2.901 4.533
0.000 0.000 0.000

---

Entry Q
RbBaTl3, optimized geometry, DFT PBE; crystal system = cubic; mass density = 4.86 g/cm3; space-group type = No. 221
1.0
6.587 0.000 0.000
0.000 6.587 0.000
0.000 0.000 6.587
Tl Ba Rb
3 1 1
Cartesian
0.000 3.294 0.000
0.000 0.000 3.294
3.294 0.000 0.000
0.000 0.000 0.000
3.294 3.294 3.294

---

Tell me which of them is the most stable. Sure, it is entry Q.

---

Entry P
RbBaV2, optimized geometry, DFT PBE; crystal system = tetragonal; mass density = 4.18 g/cm3; space-group type = No. 122
1.0
-2.490 1.270 3.733
1.010 -4.062 2.056
8.958 3.455 7.713
Ba Rb V
2 2 4
Cartesian
0.000 0.000 0.000
2.864 1.665 7.171
-0.740 -1.396 2.895
4.614 -1.002 6.332
0.225 1.448 5.395
0.654 -0.544 6.537
5.926 2.498 7.473
4.650 3.257 9.277

---

Entry Q
RbBaV2, optimized geometry, DFT PBE; crystal system = cubic; mass density = 3.59 g/cm3; space-group type = No. 225
1.0
1.093 2.148 5.460
1.194 5.801 0.741
-3.989 3.552 2.664
Ba Rb V
1 1 2
Cartesian
-0.851 5.750 4.433
0.000 0.000 0.000
-0.425 2.875 2.216
-1.276 8.625 6.649

---

Tell me which of them is the most stable. Sure, it is entry Q.

---

Entry P
Rb2BaV, optimized geometry, DFT PBE; crystal system = tetragonal; mass density = 2.72 g/cm3; space-group type = No. 122
1.0
5.411 0.000 0.000
0.000 5.411 0.000
2.706 2.706 14.993
Ba Rb V
2 4 2
Cartesian
0.000 0.000 0.000
5.411 2.706 7.497
3.938 1.353 3.748
1.474 4.058 3.748
4.058 4.179 11.245
6.764 6.643 11.245
2.706 2.706 0.000
2.706 5.411 7.497

---

Entry Q
Rb2BaV, optimized geometry, DFT PBE; crystal system = cubic; mass density = 2.85 g/cm3; space-group type = No. 225
1.0
1.619 -5.274 -3.737
-4.426 -2.527 -4.292
0.931 0.723 -6.558
Ba Rb V
1 2 1
Cartesian
-0.938 -3.539 -7.293
-0.469 -1.769 -3.647
-1.407 -5.308 -10.940
0.000 0.000 0.000

---

Tell me which of them is the most stable. Sure, it is entry P.

---

Entry P
RbBaV3, optimized geometry, DFT PBE; crystal system = cubic; mass density = 3.30 g/cm3; space-group type = No. 221
1.0
5.737 0.000 0.000
0.000 5.737 0.000
0.000 0.000 5.737
Ba Rb V
1 1 3
Cartesian
2.868 2.868 2.868
0.000 0.000 0.000
0.000 2.868 0.000
0.000 0.000 2.868
2.868 0.000 0.000

---

Entry Q
RbBaV3, optimized geometry, DFT PBE; crystal system = cubic; mass density = 2.73 g/cm3; space-group type = No. 221
1.0
6.117 0.000 0.000
0.000 6.117 0.000
0.000 0.000 6.117
Ba Rb V
1 1 3
Cartesian
0.000 0.000 0.000
3.058 3.058 3.058
0.000 3.058 0.000
0.000 0.000 3.058
3.058 0.000 0.000

---

Tell me which of them is the most stable. Sure, it is entry P.

---

Entry P
RbBaY2, optimized geometry, DFT PBE; crystal system = cubic; mass density = 3.73 g/cm3; space-group type = No. 225
1.0
-4.241 -0.643 4.637
-2.032 5.085 3.150
-5.912 2.069 -0.818
Y Ba Rb
2 1 1
Cartesian
-3.046 1.628 1.742
-9.139 4.883 5.226
-6.093 3.255 3.484
0.000 0.000 0.000

---

Entry Q
RbBaY2, optimized geometry, DFT PBE; crystal system = tetragonal; mass density = 3.81 g/cm3; space-group type = No. 122
1.0
-3.557 -2.851 -2.052
3.271 -1.624 -3.413
3.437 -12.785 5.719
Y Ba Rb
4 2 2
Cartesian
-0.965 -5.190 -0.285
2.470 -4.560 -0.954
2.461 -11.263 2.250
2.338 -13.510 -0.503
0.000 0.000 0.000
-0.131 -8.937 0.467
-0.143 -2.238 -2.733
3.283 -8.324 -0.213

---

Tell me which of them is the most stable. Sure, it is entry P.